A relaxed ScOs4 crystal. Source: the Alexandria database, functional PBE.

The calculation puts the energy above the most stable polymorph in this dataset at 0 meV/atom. The total energy is -10.17 eV/atom. The total magnetic moment is 0.00 μB per formula unit. The formation energy is 82 meV/atom.

The structure belongs to space group I4/m (No. 87); the cell edges are 6.246, 6.246 and 3.910 Å and the angles 90.00°, 90.00° and 90.00°. The inequivalent atoms are Sc at (0.000, 0.000, 0.000) and Os at (0.093, 0.690, 0.500).